# LaSnIr2Au

Crystalline LaSnIr2Au at its relaxed geometry (PBE, the Alexandria database).

## Properties
- N(E_F) (states/eV/atom) = 0.61
- uncorrected energy (eV per atom) = -4.45

```
LaSnIr2Au
1.0
4.911 0.000 0.000
0.000 4.911 0.000
0.000 0.000 6.112
La Sn Ir Au
1 1 2 1
Direct
0.000 0.000 0.000 La
0.000 0.000 0.500 Sn
0.000 0.500 0.000 Ir
0.500 0.000 0.000 Ir
0.500 0.500 0.500 Au
```